(1)
VASP calculation (PBE-GGA) on a relaxed structure of Zr4FeTc.

```
data_Zr4FeTc
_symmetry_space_group_name_H-M 'F -4 3 m'
_symmetry_Int_Tables_number 216
_symmetry_space_group_name_Hall 'F -4 2 3'
_cell_length_a 7.887
_cell_length_b 7.887
_cell_length_c 7.887
_cell_angle_alpha 90.00
_cell_angle_beta 90.00
_cell_angle_gamma 90.00
loop_
_atom_site_label
_atom_site_fract_x
_atom_site_fract_y
_atom_site_fract_z
_atom_site_occupancy
Zr1 0.124 0.124 0.376 1
Fe1 0.000 0.000 0.000 1
Tc1 0.250 0.250 0.750 1
```

As for the crystal system: cubic. For the energy above the most stable polymorph in this dataset, the calculation gives 907 meV per atom. The calculation puts the formation energy at 0.743 eV per atom.


(2)
VASP calculation (PBE-GGA) on a relaxed structure of ZrFe5Tc.

```
data_ZrFe5Tc
_symmetry_space_group_name_H-M 'P n m a'
_symmetry_Int_Tables_number 62
_cell_length_a 7.813
_cell_length_b 4.682
_cell_length_c 9.877
_cell_angle_alpha 90.00
_cell_angle_beta 90.00
_cell_angle_gamma 90.00
loop_
_symmetry_equiv_pos_as_xyz
'x,y,z'
'-x,-y,-z'
'-x+1/2,-y,z+1/2'
'x+1/2,y,-z+1/2'
'x+1/2,-y+1/2,-z+1/2'
'-x+1/2,y+1/2,z+1/2'
'-x,y+1/2,-z'
'x,-y+1/2,z'
loop_
_atom_site_label
_atom_site_fract_x
_atom_site_fract_y
_atom_site_fract_z
_atom_site_occupancy
Zr1 0.246 0.250 0.061 1
Fe1 0.057 0.750 0.085 1
Fe2 0.071 0.005 0.307 1
Fe3 0.086 0.250 0.521 1
Fe4 0.186 0.250 0.752 1
Tc1 0.135 0.750 0.852 1
```

As for the crystal system: orthorhombic. The calculation puts the formation energy at -0.094 eV per atom.


(3)
VASP calculation (PBE-GGA) on a relaxed structure of Zr3FeTc2.

```
data_Zr3FeTc2
_symmetry_space_group_name_H-M 'P 4/m m m'
_symmetry_Int_Tables_number 123
_symmetry_space_group_name_Hall '-P 4 2'
_cell_length_a 3.281
_cell_length_b 3.281
_cell_length_c 9.735
_cell_angle_alpha 90.00
_cell_angle_beta 90.00
_cell_angle_gamma 90.00
loop_
_atom_site_label
_atom_site_fract_x
_atom_site_fract_y
_atom_site_fract_z
_atom_site_occupancy
Zr1 0.000 0.000 0.000 1
Zr2 0.000 0.000 0.336 1
Fe1 0.500 0.500 0.500 1
Tc1 0.500 0.500 0.172 1
```

As for the crystal system: tetragonal. The calculation puts the formation energy at -0.298 eV per atom.


(4)
VASP calculation (PBE-GGA) on a relaxed structure of ZrFeTc2.

```
data_ZrFeTc2
_symmetry_space_group_name_H-M 'P 4/m m m'
_symmetry_Int_Tables_number 123
_symmetry_space_group_name_Hall '-P 4 2'
_cell_length_a 4.383
_cell_length_b 4.383
_cell_length_c 3.249
_cell_angle_alpha 90.00
_cell_angle_beta 90.00
_cell_angle_gamma 90.00
loop_
_atom_site_label
_atom_site_fract_x
_atom_site_fract_y
_atom_site_fract_z
_atom_site_occupancy
Zr1 0.000 0.000 0.000 1
Fe1 0.500 0.500 0.000 1
Tc1 0.000 0.500 0.500 1
```

As for the crystal system: tetragonal. For the energy above the most stable polymorph in this dataset, the calculation gives 29 meV per atom. The calculation puts the formation energy at -0.003 eV per atom.


(5)
VASP calculation (PBE-GGA) on a relaxed structure of Zr2FeTc.

```
data_Zr2FeTc
_symmetry_space_group_name_H-M 'R -3 m'
_symmetry_Int_Tables_number 166
_symmetry_space_group_name_Hall '-R 3 2"'
_cell_length_a 3.1820
_cell_length_b 3.1820
_cell_length_c 24.3548
_cell_angle_alpha 90.00
_cell_angle_beta 90.00
_cell_angle_gamma 120.00
loop_
_atom_site_label
_atom_site_fract_x
_atom_site_fract_y
_atom_site_fract_z
_atom_site_occupancy
Zr1 0.0000 0.0000 0.2477 1
Fe1 0.0000 0.0000 0.5000 1
Tc1 0.0000 0.0000 0.0000 1
```

As for the crystal system: trigonal. The calculation puts the formation energy at 0.094 eV per atom.


(6)
VASP calculation (PBE-GGA) on a relaxed structure of Zr2FeTc.

```
data_Zr2FeTc
_symmetry_space_group_name_H-M 'F -4 3 m'
_symmetry_Int_Tables_number 216
_symmetry_space_group_name_Hall 'F -4 2 3'
_cell_length_a 6.497
_cell_length_b 6.497
_cell_length_c 6.497
_cell_angle_alpha 90.00
_cell_angle_beta 90.00
_cell_angle_gamma 90.00
loop_
_atom_site_label
_atom_site_fract_x
_atom_site_fract_y
_atom_site_fract_z
_atom_site_occupancy
Zr1 0.000 0.000 0.000 1
Zr2 0.250 0.250 0.250 1
Fe1 0.000 0.000 0.500 1
Tc1 0.250 0.250 0.750 1
```

As for the crystal system: cubic. The calculation puts the formation energy at 0.065 eV per atom.


(7)
VASP calculation (PBE-GGA) on a relaxed structure of Zr3Fe8Tc.

```
data_Zr3Fe8Tc
_symmetry_space_group_name_H-M 'R 3 m'
_symmetry_Int_Tables_number 160
_symmetry_space_group_name_Hall 'R 3 -2"'
_cell_length_a 4.9178
_cell_length_b 4.9178
_cell_length_c 24.1263
_cell_angle_alpha 90.00
_cell_angle_beta 90.00
_cell_angle_gamma 120.00
loop_
_atom_site_label
_atom_site_fract_x
_atom_site_fract_y
_atom_site_fract_z
_atom_site_occupancy
Zr1 0.0000 0.0000 0.0000 1
Zr2 0.0000 0.0000 0.1284 1
Zr3 0.0000 0.0000 0.5091 1
Fe1 0.0000 0.0000 0.3160 1
Fe2 0.0000 0.0000 0.8169 1
Fe3 0.1675 0.3349 0.3992 1
Fe4 0.1677 0.3354 0.9006 1
Tc1 0.0000 0.0000 0.6307 1
```

As for the crystal system: trigonal. The calculation puts the formation energy at -0.179 eV per atom.


(8)
VASP calculation (PBE-GGA) on a relaxed structure of Zr2FeTc.

```
data_Zr2FeTc
_symmetry_space_group_name_H-M 'P 4/m m m'
_symmetry_Int_Tables_number 123
_symmetry_space_group_name_Hall '-P 4 2'
_cell_length_a 4.579
_cell_length_b 4.579
_cell_length_c 3.244
_cell_angle_alpha 90.00
_cell_angle_beta 90.00
_cell_angle_gamma 90.00
loop_
_atom_site_label
_atom_site_fract_x
_atom_site_fract_y
_atom_site_fract_z
_atom_site_occupancy
Zr1 0.000 0.500 0.000 1
Fe1 0.000 0.000 0.500 1
Tc1 0.500 0.500 0.500 1
```

As for the crystal system: tetragonal. The calculation puts the formation energy at -0.271 eV per atom.


(9)
VASP calculation (PBE-GGA) on a relaxed structure of Zr5FeTc4.

```
data_Zr5FeTc4
_symmetry_space_group_name_H-M 'P 4/m m m'
_symmetry_Int_Tables_number 123
_symmetry_space_group_name_Hall '-P 4 2'
_cell_length_a 3.289
_cell_length_b 3.289
_cell_length_c 16.307
_cell_angle_alpha 90.00
_cell_angle_beta 90.00
_cell_angle_gamma 90.00
loop_
_atom_site_label
_atom_site_fract_x
_atom_site_fract_y
_atom_site_fract_z
_atom_site_occupancy
Zr1 0.000 0.000 0.000 1
Zr2 0.000 0.000 0.202 1
Zr3 0.000 0.000 0.403 1
Fe1 0.500 0.500 0.500 1
Tc1 0.500 0.500 0.101 1
Tc2 0.500 0.500 0.305 1
```

As for the crystal system: tetragonal. The calculation puts the formation energy at -0.318 eV per atom.


(10)
VASP calculation (PBE-GGA) on a relaxed structure of Zr2FeTc.

```
data_Zr2FeTc
_symmetry_space_group_name_H-M 'I m m 2'
_symmetry_Int_Tables_number 44
_cell_length_a 3.277
_cell_length_b 4.483
_cell_length_c 9.500
_cell_angle_alpha 90.00
_cell_angle_beta 90.00
_cell_angle_gamma 90.00
loop_
_symmetry_equiv_pos_as_xyz
'x,y,z'
'-x,-y,z'
'-x,y,z'
'x,-y,z'
'x+1/2,y+1/2,z+1/2'
'-x+1/2,-y+1/2,z+1/2'
'-x+1/2,y+1/2,z+1/2'
'x+1/2,-y+1/2,z+1/2'
loop_
_atom_site_label
_atom_site_fract_x
_atom_site_fract_y
_atom_site_fract_z
_atom_site_occupancy
Zr1 0.000 0.000 0.000 1
Zr2 0.000 0.500 0.229 1
Fe1 0.000 0.500 0.755 1
Tc1 0.000 0.000 0.477 1
```

As for the crystal system: orthorhombic. The calculation puts the formation energy at -0.106 eV per atom.


(11)
VASP calculation (PBE-GGA) on a relaxed structure of ZrFeTc2.

```
data_ZrFeTc2
_symmetry_space_group_name_H-M 'I 4/m m m'
_symmetry_Int_Tables_number 139
_symmetry_space_group_name_Hall '-I 4 2'
_cell_length_a 3.853
_cell_length_b 3.853
_cell_length_c 8.369
_cell_angle_alpha 90.00
_cell_angle_beta 90.00
_cell_angle_gamma 90.00
loop_
_atom_site_label
_atom_site_fract_x
_atom_site_fract_y
_atom_site_fract_z
_atom_site_occupancy
Zr1 0.000 0.000 0.000 1
Fe1 0.000 0.000 0.500 1
Tc1 0.000 0.500 0.250 1
```

As for the crystal system: tetragonal. For the energy above the most stable polymorph in this dataset, the calculation gives 211 meV per atom. The calculation puts the formation energy at 0.179 eV per atom.


(12)
VASP calculation (PBE-GGA) on a relaxed structure of Zr2FeTc.

```
data_Zr2FeTc
_symmetry_space_group_name_H-M 'P 4 m m'
_symmetry_Int_Tables_number 99
_cell_length_a 3.156
_cell_length_b 3.156
_cell_length_c 7.198
_cell_angle_alpha 90.00
_cell_angle_beta 90.00
_cell_angle_gamma 90.00
loop_
_symmetry_equiv_pos_as_xyz
'x,y,z'
'-y,x,z'
'-x,-y,z'
'y,-x,z'
'-x,y,z'
'y,x,z'
'x,-y,z'
'-y,-x,z'
loop_
_atom_site_label
_atom_site_fract_x
_atom_site_fract_y
_atom_site_fract_z
_atom_site_occupancy
Zr1 0.000 0.000 0.000 1
Zr2 0.500 0.500 0.318 1
Fe1 0.000 0.000 0.575 1
Tc1 0.500 0.500 0.749 1
```

As for the crystal system: tetragonal. The calculation puts the formation energy at 0.036 eV per atom.


| no. | magnetization (μB per atom) |
| --- | --- |
| 1 | 0.404 |
| 2 | 0.167 |
| 3 | 0.212 |
| 4 | 0.663 |
| 5 | 0.278 |
| 6 | 0.485 |
| 7 | 1.250 |
| 8 | 0.000 |
| 9 | 0.104 |
| 10 | 0.320 |
| 11 | 0.317 |
| 12 | 0.640 |